Record 1
A plane-wave DFT calculation with PBE was carried out for a relaxed ErZnOs crystal.

```
6
Lattice="4.640 0.000 2.605 1.612 4.394 2.563 0.056 0.140 5.335" Properties=species:S:1:pos:R:3 pbc="T T T"
Er 4.711 1.661 5.195
Er 1.596 2.873 5.308
Zn 3.126 2.197 2.584
Zn 2.348 0.070 3.970
Os 0.000 0.000 0.000
Os 2.320 0.000 1.303
```

Calculated values
Calculated formation energy in meV/atom: -324
E_tot in eV/atom: -6.012

=====

Record 2
A plane-wave DFT calculation with PBE was carried out for a relaxed Er6Zn2Os crystal.

```
18
Lattice="-8.231 -0.490 -0.968 2.863 -7.774 0.552 1.745 4.409 6.816" Properties=species:S:1:pos:R:3 pbc="T T T"
Er -1.164 -2.496 5.482
Er -2.459 -1.359 0.918
Er 1.550 1.682 5.692
Er -5.173 -5.537 0.707
Er -3.616 -3.706 3.355
Er -0.007 -0.149 3.045
Er 2.171 -1.739 6.527
Er -5.794 -2.116 -0.128
Er -3.675 -0.504 4.095
Er 0.053 -3.351 2.304
Er 1.637 -4.508 4.837
Er -5.260 0.653 1.562
Zn -1.538 0.714 5.649
Zn -2.085 -4.569 0.750
Zn -4.119 2.488 3.713
Zn -2.368 1.430 2.134
Os -5.927 -2.172 2.715
Os 0.000 0.000 0.000
```

Calculated values
Calculated formation energy in meV/atom: -227
E_tot in eV/atom: -4.800

=====

Record 3
A plane-wave DFT calculation with PBE was carried out for a relaxed Er3ZnOs crystal.

```
10
Lattice="-0.758 -5.341 -1.794 5.047 2.120 -1.533 1.012 -1.079 8.338" Properties=species:S:1:pos:R:3 pbc="T T T"
Er 3.930 -0.030 -0.894
Er 1.372 -4.271 5.904
Er 1.286 -0.285 1.934
Er 4.016 -4.016 3.077
Er 2.672 -2.870 0.236
Er 2.629 -1.430 4.774
Zn 0.962 -3.837 2.624
Zn 4.339 -0.463 2.386
Os 1.072 -0.805 -0.832
Os 3.217 -2.416 -2.496
```

Calculated values
Offset from the most stable computed form in eV/f.u.: 0.00
Calculated formation energy in meV/atom: -323
E_tot in eV/atom: -5.562

=====

Record 4
A plane-wave DFT calculation with PBE was carried out for a relaxed ErZnOs crystal.

```
6
Lattice="-3.387 0.019 -3.497 0.059 -4.125 2.585 -0.358 2.413 6.209" Properties=species:S:1:pos:R:3 pbc="T T T"
Er -1.267 -0.446 6.629
Er -2.418 -1.247 -1.333
Zn -0.179 1.206 3.104
Zn -1.843 -0.847 2.648
Os -0.904 -3.490 3.241
Os -2.781 1.797 2.055
```

Calculated values
Calculated formation energy in meV/atom: 27
E_tot in eV/atom: -5.662

=====

Record 5
A plane-wave DFT calculation with PBE was carried out for a relaxed Er4Zn2Os crystal.

```
14
Lattice="7.552 -0.038 0.065 -2.552 7.108 -0.065 -2.449 -3.572 6.188" Properties=species:S:1:pos:R:3 pbc="T T T"
Er -2.320 4.905 2.176
Er 1.683 3.438 3.159
Er 4.008 1.793 4.592
Er -0.827 -1.454 5.509
Er 2.907 5.286 0.101
Er 2.949 -1.411 5.578
Er 2.791 0.065 1.462
Er -0.985 1.372 2.173
Zn 4.988 -0.876 3.237
Zn 1.212 0.306 3.875
Zn -1.160 3.472 4.514
Zn 0.064 4.095 0.749
Os 0.000 0.000 0.000
Os 3.776 2.633 1.563
```

Calculated values
Offset from the most stable computed form in eV/f.u.: 0.02
Calculated formation energy in meV/atom: -213
E_tot in eV/atom: -4.789

=====

Record 6
A plane-wave DFT calculation with PBE was carried out for a relaxed Er6Zn5Os crystal.

```
12
Lattice="4.688 -0.028 1.568 0.038 7.057 0.013 0.010 -0.014 7.815" Properties=species:S:1:pos:R:3 pbc="T T T"
Zn 3.159 3.500 6.241
Zn 1.533 -0.014 3.223
Zn 0.019 3.529 0.006
Zn 3.165 -0.028 6.159
Zn 1.577 3.515 3.155
Os 0.000 0.000 0.000
Er 3.967 5.309 3.830
Er 3.948 1.692 3.824
Er 2.353 1.660 0.787
Er 2.373 5.369 0.794
Er 0.788 5.323 5.572
Er 0.768 1.706 5.565
```

Calculated values
Calculated formation energy in meV/atom: -379
E_tot in eV/atom: -4.127

=====

Record 7
A plane-wave DFT calculation with PBE was carried out for a relaxed Er4Zn3Os crystal.

```
8
Lattice="-2.407 2.492 -0.196 -2.249 -2.040 1.680 4.482 5.309 12.442" Properties=species:S:1:pos:R:3 pbc="T T T"
Zn -1.212 1.548 3.840
Zn -0.087 2.881 6.963
Zn 1.038 4.213 10.086
Os -2.328 0.226 0.742
Er 3.974 4.708 11.033
Er 0.508 0.601 1.409
Er 1.675 1.984 4.650
Er 2.807 3.325 7.792
```

Calculated values
Calculated formation energy in meV/atom: -347
E_tot in eV/atom: -4.510

=====

Record 8
A plane-wave DFT calculation with PBE was carried out for a relaxed Er4Zn2Os crystal.

```
7
Lattice="4.692 0.000 1.466 2.117 4.187 1.466 -0.050 -0.031 8.401" Properties=species:S:1:pos:R:3 pbc="T T T"
Er 5.960 3.665 5.647
Er 0.798 0.491 5.686
Er 4.256 2.617 2.861
Er 2.503 1.539 8.472
Zn 5.067 3.116 8.505
Zn 1.691 1.040 2.828
Os 0.000 0.000 0.000
```

Calculated values
Offset from the most stable computed form in eV/f.u.: 0.00
Calculated formation energy in meV/atom: -216
E_tot in eV/atom: -4.791

=====

Record 9
A plane-wave DFT calculation with PBE was carried out for a relaxed Er5Zn2Os crystal.

```
16
Lattice="6.373 0.000 -3.008 -1.420 6.212 -3.008 0.425 0.533 9.154" Properties=species:S:1:pos:R:3 pbc="T T T"
Er 2.676 4.511 2.733
Er 4.053 6.238 -2.604
Er 0.000 0.000 0.000
Er 2.476 3.106 -3.008
Er 1.325 0.507 5.742
Er 4.306 1.405 3.803
Er -0.306 3.614 4.672
Er 1.071 5.341 -0.665
Er 5.683 3.132 -1.534
Er 2.702 2.235 0.405
Zn 0.231 2.356 -1.504
Zn 3.784 0.750 -2.231
Zn 1.168 5.462 -3.786
Zn 4.722 3.856 -4.512
Os 3.927 4.926 0.065
Os 1.451 1.820 3.073
```

Calculated values
Calculated formation energy in meV/atom: -279
E_tot in eV/atom: -4.853

=====

Record 10
A plane-wave DFT calculation with PBE was carried out for a relaxed Er3Zn2Os crystal.

```
12
Lattice="-2.549 4.130 0.588 -5.837 -1.394 4.864 4.141 1.776 5.479" Properties=species:S:1:pos:R:3 pbc="T T T"
Er -0.928 4.313 6.349
Er -0.289 2.488 1.598
Er -3.316 0.199 4.581
Er -3.141 3.364 3.423
Er -1.104 1.147 7.508
Er 1.882 3.418 4.469
Zn 0.000 0.000 0.000
Zn 2.071 0.888 2.739
Zn -0.724 1.804 4.555
Zn -3.520 2.708 6.376
Os -2.767 0.934 1.789
Os -5.619 1.802 3.663
```

Calculated values
Offset from the most stable computed form in eV/f.u.: 0.00
Calculated formation energy in meV/atom: -363
E_tot in eV/atom: -4.941

=====

Record 11
A plane-wave DFT calculation with PBE was carried out for a relaxed ErZrZnOs crystal.

```
4
Lattice="-2.635 2.647 -2.977 -3.728 -1.947 -2.264 -4.448 1.247 1.214" Properties=species:S:1:pos:R:3 pbc="T T T"
Zn 0.000 0.000 0.000
Os -5.405 0.974 -2.014
Zr -2.703 0.487 -1.007
Er -8.108 1.461 -3.021
```

Calculated values
Calculated formation energy in meV/atom: -323
E_tot in eV/atom: -6.727

=====

Record 12
A plane-wave DFT calculation with PBE was carried out for a relaxed ErZr3Os4 crystal.

```
16
Lattice="-3.243 -1.792 2.847 -2.008 -4.053 -4.838 6.103 -6.464 2.882" Properties=species:S:1:pos:R:3 pbc="T T T"
Os -3.139 -3.960 -2.234
Os -0.088 -7.192 -0.793
Os -2.111 -1.885 0.243
Os 0.940 -5.117 1.684
Os 3.059 -7.912 -1.496
Os -3.235 -6.472 -0.090
Os -2.206 -4.397 2.387
Os 4.087 -5.837 0.981
Zr 0.000 0.000 0.000
Zr 3.052 -3.232 1.441
Zr 2.956 -5.744 3.585
Zr -0.095 -2.512 2.144
Zr 1.952 -7.771 1.166
Zr -1.099 -4.538 -0.275
Er -1.004 -2.026 -2.419
Er 2.048 -5.258 -0.978
```

Calculated values
Calculated formation energy in meV/atom: -446
E_tot in eV/atom: -9.837

=====

Record 13
A plane-wave DFT calculation with PBE was carried out for a relaxed ErZr4Os5 crystal.

```
10
Lattice="3.296 0.000 0.000 0.000 3.296 0.000 0.000 0.000 16.632" Properties=species:S:1:pos:R:3 pbc="T T T"
Er 0.000 0.000 0.000
Zr 0.000 0.000 3.350
Zr 0.000 0.000 6.663
Zr 0.000 0.000 9.969
Zr 0.000 0.000 13.282
Os 1.648 1.648 1.817
Os 1.648 1.648 5.056
Os 1.648 1.648 8.316
Os 1.648 1.648 11.577
Os 1.648 1.648 14.815
```

Calculated values
Calculated formation energy in meV/atom: -479
E_tot in eV/atom: -9.969

=====

Record 14
A plane-wave DFT calculation with PBE was carried out for a relaxed ErP3 crystal.

```
4
Lattice="3.692 0.000 0.000 0.000 4.074 0.000 0.000 0.000 5.498" Properties=species:S:1:pos:R:3 pbc="T T T"
P 1.846 1.264 0.000
P 1.846 1.774 2.749
P 0.000 3.199 2.749
Er 0.000 3.269 0.000
```

Calculated values
Calculated formation energy in meV/atom: -530
E_tot in eV/atom: -5.728

=====

Record 15
A plane-wave DFT calculation with PBE was carried out for a relaxed ErP4 crystal.

```
5
Lattice="-2.254 3.705 -2.815 -1.360 -3.516 -3.539 -4.450 -0.803 2.507" Properties=species:S:1:pos:R:3 pbc="T T T"
P 0.000 0.000 0.000
P -3.352 1.451 -0.154
P -2.905 -2.159 -0.516
P -1.807 0.094 -3.177
Er -4.032 -0.307 -1.923
```

Calculated values
Calculated formation energy in meV/atom: 1180
E_tot in eV/atom: -4.061

=====

Record 16
A plane-wave DFT calculation with PBE was carried out for a relaxed Er4P crystal.

```
5
Lattice="-3.593 -0.420 3.898 3.919 -0.539 3.555 0.114 5.274 0.674" Properties=species:S:1:pos:R:3 pbc="T T T"
P 0.220 2.158 4.063
Er 0.000 0.000 0.000
Er -1.739 2.427 2.286
Er 2.017 2.367 2.114
Er 0.163 -0.479 3.726
```

Calculated values
Calculated formation energy in meV/atom: -388
E_tot in eV/atom: -5.120

=====

Record 17
A plane-wave DFT calculation with PBE was carried out for a relaxed Er2PaP crystal.

```
4
Lattice="3.520 0.000 0.000 1.760 3.049 0.000 1.760 1.016 10.059" Properties=species:S:1:pos:R:3 pbc="T T T"
P 3.520 2.033 5.029
Pa 0.000 0.000 0.000
Er 1.760 1.016 6.728
Er 5.281 3.049 3.330
```

Calculated values
Calculated formation energy in meV/atom: -252
E_tot in eV/atom: -6.260

=====

Record 18
A plane-wave DFT calculation with PBE was carried out for a relaxed Er3PaP4 crystal.

```
8
Lattice="-2.262 4.804 -1.780 -0.357 -2.089 -5.184 -3.799 -3.338 4.632" Properties=species:S:1:pos:R:3 pbc="T T T"
P -3.902 0.353 -2.899
P -2.517 -0.975 0.566
P -1.131 2.402 -0.890
P -0.179 -1.044 -2.592
Pa 0.000 0.000 0.000
Er -1.310 1.358 -3.482
Er -3.686 1.412 -0.315
Er -2.733 -2.034 -2.017
```

Calculated values
Offset from the most stable computed form in eV/f.u.: 0.00
Calculated formation energy in meV/atom: -1547
E_tot in eV/atom: -7.150

=====

Record 19
A plane-wave DFT calculation with PBE was carried out for a relaxed ErPa4P6 crystal.

```
22
Lattice="-6.165 0.893 4.598 -0.970 -7.675 0.329 4.670 -0.243 6.171" Properties=species:S:1:pos:R:3 pbc="T T T"
Er -1.232 -3.512 5.549
Er 0.000 0.000 0.000
Pa -1.214 -0.771 3.265
Pa -3.871 -1.235 6.311
Pa -1.527 -4.683 2.191
Pa 1.719 -1.878 5.860
Pa -4.184 -5.147 5.238
Pa -0.938 -2.341 8.906
Pa 1.406 -5.790 4.786
Pa -1.251 -6.253 7.832
P -3.824 0.083 3.655
P -0.541 -2.433 0.902
P -3.216 -2.858 3.916
P -2.695 0.012 8.493
P -0.917 -0.981 6.270
P 0.551 -3.128 3.625
P -3.016 -3.896 7.472
P -1.548 -6.043 4.827
P 0.231 -7.037 2.604
P 0.752 -4.166 7.181
P -1.924 -4.591 10.195
P 1.359 -7.108 7.443
```

Calculated values
Calculated formation energy in meV/atom: -1096
E_tot in eV/atom: -7.915

=====

Record 20
A plane-wave DFT calculation with PBE was carried out for a relaxed ErPa2P3 crystal.

```
24
Lattice="5.610 -0.009 0.000 0.013 7.929 0.000 0.000 0.000 11.870" Properties=species:S:1:pos:R:3 pbc="T T T"
Er 1.413 6.946 0.969
Er 1.406 2.982 4.967
Er 4.216 4.938 6.904
Er 4.210 0.973 10.902
Pa 1.416 6.939 8.905
Pa 1.410 2.974 8.901
Pa 1.412 6.939 4.947
Pa 1.406 2.975 0.988
Pa 4.217 4.945 10.882
Pa 4.210 0.981 6.923
Pa 4.213 4.945 2.970
Pa 4.207 0.981 2.966
P 1.411 4.960 6.930
P 1.405 0.995 10.876
P 1.412 4.966 10.885
P 1.405 1.002 6.921
P 1.408 4.957 2.972
P 1.402 0.993 2.963
P 4.221 6.927 8.907
P 4.215 2.963 8.899
P 4.217 6.918 4.950
P 4.211 2.954 0.985
P 4.218 6.924 0.994
P 4.211 2.960 4.941
```

Calculated values
Calculated formation energy in meV/atom: -1413
E_tot in eV/atom: -8.044